## Pd4PbS (PBE-GGA)

Data for crystalline Pd4PbS at its relaxed geometry.

Results
ΔE_f (raw), eV/atom: -0.165
Density, Mg/m³: 10.26
Uncorrected energy, eV/atom: -4.93
M_tot, Bohr magnetons per cell: 0.00

Lattice parameters (Å, degrees): 6.1171 5.4532 7.1764 95.73 115.26 90.10
Last column: nearest neighbours and their distance in Å.
Fractional coordinates of all 12 atoms:
Pd  0.2798  0.6137  0.3654  2 S 2.38-2.40
Pd  0.5326  0.8910  0.1925  1 S 2.32
Pd  0.9135  0.8852  0.6338  2 S 2.38-2.40
Pd  0.7202  0.3863  0.6346  2 S 2.38-2.40
Pd  0.6599  0.3911  0.1925  1 S 2.32
Pd  0.4674  0.1090  0.8075  1 S 2.32
Pd  0.3401  0.6089  0.8075  1 S 2.32
Pd  0.0865  0.1148  0.3662  2 S 2.38-2.40
Pb  0.8382  0.7504  0.0004  8 Pd 2.82-3.02
Pb  0.1618  0.2496  0.9996  8 Pd 2.82-3.02
S  0.0000  0.5000  0.5000  6 Pd 2.32-2.40
S  0.5000  0.0000  0.5000  6 Pd 2.32-2.40

***

## PdPbS2 (PBE-GGA)

Data for crystalline PdPbS2 at its relaxed geometry.

Results
ΔE_f (raw), eV/atom: -0.219
Density, Mg/m³: 7.55
Uncorrected energy, eV/atom: -4.51
M_tot, Bohr magnetons per cell: 0.00

Lattice parameters (Å, degrees): 3.7474 3.7474 7.1627 74.84 74.84 60.00
Last column: nearest neighbours and their distance in Å.
Fractional coordinates of all 4 atoms:
S  0.2717  0.2717  0.1848  3 Pd 2.50
S  0.0621  0.0621  0.8136  3 Pd 2.51
Pb  0.4998  0.4998  0.5005  6 S 3.04-3.05
Pd  0.6663  0.6663  0.0012  6 S 2.50-2.51

***

## PdPbS2 (PBE-GGA)

Data for crystalline PdPbS2 at its relaxed geometry.

Results
ΔE_f (raw), eV/atom: -0.168
Density, Mg/m³: 6.76
Uncorrected energy, eV/atom: -4.46
M_tot, Bohr magnetons per cell: 0.00

Lattice parameters (Å, degrees): 8.6282 8.6282 8.6282 23.93 23.93 23.93
Last column: nearest neighbours and their distance in Å.
Fractional coordinates of all 4 atoms:
Pd  0.5000  0.5000  0.5000  6 S 2.43
S  0.1161  0.1161  0.1161  3 Pd 2.43
S  0.8839  0.8839  0.8839  3 Pd 2.43
Pb  0.0000  0.0000  0.0000  2 S 2.92

***

## Pd3PbS2 (PBE-GGA)

Data for crystalline Pd3PbS2 at its relaxed geometry.

Results
ΔE_f (raw), eV/atom: -0.231
Density, Mg/m³: 8.57
Uncorrected energy, eV/atom: -4.82
M_tot, Bohr magnetons per cell: 0.00

Lattice parameters (Å, degrees): 4.4867 7.6359 7.9839 117.47 90.00 107.08
Last column: nearest neighbours and their distance in Å.
Fractional coordinates of all 12 atoms:
Pd  0.6190  0.2380  0.6271  4 S 2.42-2.67
Pd  0.0615  0.1230  0.3828  3 S 2.45-2.54
Pd  0.9385  0.8770  0.6172  3 S 2.45-2.54
Pd  0.6986  0.3972  0.3691  2 S 2.38-2.41
Pd  0.3014  0.6028  0.6309  2 S 2.38-2.41
Pd  0.3810  0.7620  0.3729  4 S 2.42-2.67
Pb  0.8542  0.7084  0.8980  4 Pd 2.93-3.05, 3 S 3.11-3.18
Pb  0.1458  0.2916  0.1020  4 Pd 2.93-3.05, 3 S 3.11-3.18
S  0.5118  0.0235  0.2453  5 Pd 2.41-2.67
S  0.8225  0.6451  0.2567  4 Pd 2.38-2.54
S  0.1775  0.3549  0.7433  4 Pd 2.38-2.54
S  0.4882  0.9765  0.7547  5 Pd 2.41-2.67

***

## PdPbS3 (PBE-GGA)

Data for crystalline PdPbS3 at its relaxed geometry.

Results
ΔE_f (raw), eV/atom: 0.093
Density, Mg/m³: 6.26
Uncorrected energy, eV/atom: -4.16
M_tot, Bohr magnetons per cell: 0.00
Relative energy among the computed polymorphs, meV per atom: 0.0

Lattice parameters (Å, degrees): 4.7725 4.7725 4.7725 90.00 90.00 90.00
Last column: nearest neighbours and their distance in Å.
Fractional coordinates of all 5 atoms:
S  0.0000  0.5000  0.0000  2 Pd 2.39
S  0.5000  0.0000  0.0000  2 Pd 2.39
S  0.0000  0.0000  0.5000  2 Pd 2.39
Pb  0.5000  0.5000  0.5000  12 S 3.37
Pd  0.0000  0.0000  0.0000  6 S 2.39

***

## PdPbS2 (PBE-GGA)

Data for crystalline PdPbS2 at its relaxed geometry.

Results
ΔE_f (raw), eV/atom: -0.162
Density, Mg/m³: 6.00
Uncorrected energy, eV/atom: -4.45
M_tot, Bohr magnetons per cell: 0.00

Lattice parameters (Å, degrees): 5.8405 5.8405 7.3948 66.74 66.74 90.00
Last column: nearest neighbours and their distance in Å.
Fractional coordinates of all 8 atoms:
Pd  0.5000  0.5000  0.0000  4 S 2.38
Pd  0.2500  0.7500  0.5000  4 S 2.38
S  0.3750  0.4397  0.7500  2 Pd 2.38
S  0.5603  0.1250  0.2500  2 Pd 2.38
S  0.1897  0.6250  0.2500  2 Pd 2.38
S  0.8750  0.8103  0.7500  2 Pd 2.38
Pb  0.0000  0.0000  0.0000  4 S 2.80
Pb  0.7500  0.2500  0.5000  4 S 2.80

***

Q: Which value of density does entry 6 give?
A: 6.00 Mg/m³